Entry 1:
PmPrSm6: relaxed, PBE-GGA. Values from VASP.

Cell and atoms, written as Quantum ESPRESSO input:
```
&SYSTEM
  ibrav = 0, nat = 8, ntyp = 3
/
ATOMIC_SPECIES
Pm 145.00 Pm.upf
Sm 150.36 Sm.upf
Pr 140.91 Pr.upf
CELL_PARAMETERS angstrom
0.3417 -5.6696 1.6444
5.5886 -1.6671 -0.9762
3.6370 0.7274 8.3930
ATOMIC_POSITIONS crystal
Pm 0.0000 0.0000 0.0000
Sm 0.4740 0.9531 0.7021
Sm 0.3729 0.3729 0.9236
Sm 0.5260 0.0469 0.2979
Sm 0.0469 0.5260 0.2979
Sm 0.9531 0.4740 0.7021
Pr 0.5000 0.5000 0.5000
Sm 0.6271 0.6271 0.0764
```

Computed properties:
Energy above the lowest structure with this stoichiometry (eV per atom): 0.354
Energy of formation from the pure elements (eV/atom): 0.3705
SG: C2/m



Entry 2:
Pa2InH: relaxed, PBE-GGA. Values from VASP.

Cell and atoms, written as Quantum ESPRESSO input:
```
&SYSTEM
  ibrav = 0, nat = 4, ntyp = 3
/
ATOMIC_SPECIES
In 114.82 In.upf
Pa 231.04 Pa.upf
H 1.01 H.upf
CELL_PARAMETERS angstrom
3.0237 0.0000 0.0000
0.0000 3.0237 0.0000
0.0000 0.0000 8.0721
ATOMIC_POSITIONS crystal
In 0.5000 0.5000 0.5000
Pa 0.0000 0.0000 0.8235
H 0.5000 0.5000 0.0000
Pa 0.0000 0.0000 0.1765
```

Computed properties:
Energy above the lowest structure with this stoichiometry (eV per atom): 0.226
SG: P4/mmm